A relaxed Dy6Ho12Zr crystal. Source: the Alexandria database, functional PBE-GGA.

Cell lengths 8.5834, 8.5834, 8.5834 Å; angles 98.63, 98.63, 98.63 degrees
Atoms (fractional coordinates):
Dy 0.9047 0.3340 0.9047
Dy 0.9047 0.9047 0.3340
Dy 0.3340 0.9047 0.9047
Dy 0.0953 0.0953 0.6660
Dy 0.0953 0.6660 0.0953
Dy 0.6660 0.0953 0.0953
Ho 0.7563 0.2437 0.5000
Ho 0.3510 0.0817 0.3510
Ho 0.3510 0.3510 0.0817
Ho 0.9183 0.6490 0.6490
Ho 0.6490 0.6490 0.9183
Ho 0.6490 0.9183 0.6490
Ho 0.5000 0.7563 0.2437
Ho 0.2437 0.5000 0.7563
Ho 0.2437 0.7563 0.5000
Ho 0.5000 0.2437 0.7563
Ho 0.7563 0.5000 0.2437
Ho 0.0817 0.3510 0.3510
Zr 0.0000 0.0000 0.0000

The distance to the lowest polymorph of the same formula comes out at 85 meV per atom. The value obtained for the formation enthalpy at 0 K is 5.70 kcal/mol of atoms. The size of the total moment comes out at 2.8 μB per cell. The calculated volume is 608.4 Å³/cell.